[1]
Computed, not measured: an optimized crystal structure of Ce3Tl3TeSe8 at the PBE-GGA level of DFT.

abc: 9.218 9.218 9.218
angles: 55.59 55.59 55.59
Positions (direct):
Ce  0.000  0.500  0.500
Ce  0.500  0.000  0.500
Ce  0.500  0.500  0.000
Tl  0.000  0.000  0.500
Tl  0.000  0.500  0.000
Tl  0.500  0.000  0.000
Te  0.000  0.000  0.000
Se  0.229  0.229  0.744
Se  0.229  0.744  0.229
Se  0.256  0.771  0.771
Se  0.264  0.264  0.264
Se  0.736  0.736  0.736
Se  0.744  0.229  0.229
Se  0.771  0.256  0.771
Se  0.771  0.771  0.256

Output
ΔE_f (raw) (eV per atom): -1.05
Space group: No. 166

---

[2]
Computed, not measured: an optimized crystal structure of AcLuAu at the PBE-GGA level of DFT.

abc: 4.889 4.889 4.479
angles: 90.00 90.00 120.00
Positions (direct):
Ac  0.000  0.000  0.000
Lu  0.667  0.333  0.500
Au  0.333  0.667  0.500

Output
Energy of formation (meV/atom): -431
Energy above the lowest structure with this stoichiometry (eV per atom): 0.084
Space group: No. 187

---

[3]
Computed, not measured: an optimized crystal structure of AcLaTb2 at the PBE-GGA level of DFT.

abc: 12.053 12.053 12.053
angles: 17.89 17.89 17.89
Positions (direct):
Ac  0.000  0.000  0.000
La  0.500  0.500  0.500
Tb  0.249  0.249  0.249
Tb  0.751  0.751  0.751

Output
Energy of formation (meV/atom): 34
Energy above the lowest structure with this stoichiometry (eV per atom): 0.000
Space group: No. 166

---

[4]
Computed, not measured: an optimized crystal structure of NdThTlCd at the PBE-GGA level of DFT.

abc: 5.483 5.483 5.483
angles: 60.00 60.00 60.00
Positions (direct):
Nd  0.000  0.000  0.000
Th  0.500  0.500  0.500
Tl  0.250  0.250  0.250
Cd  0.750  0.750  0.750

Output
Energy of formation (meV/atom): -203
Space group: No. 216

---

[5]
Computed, not measured: an optimized crystal structure of Y4MnGa12 at the PBE-GGA level of DFT.

abc: 7.469 7.469 7.469
angles: 109.47 109.47 109.47
Positions (direct):
Y  0.000  0.000  0.500
Y  0.000  0.500  0.000
Y  0.500  0.000  0.000
Y  0.500  0.500  0.500
Mn  0.000  0.000  0.000
Ga  0.000  0.288  0.288
Ga  0.000  0.712  0.712
Ga  0.250  0.500  0.750
Ga  0.250  0.750  0.500
Ga  0.288  0.000  0.288
Ga  0.288  0.288  0.000
Ga  0.500  0.250  0.750
Ga  0.500  0.750  0.250
Ga  0.712  0.000  0.712
Ga  0.712  0.712  0.000
Ga  0.750  0.250  0.500
Ga  0.750  0.500  0.250

Output
Energy of formation (meV/atom): -538
Space group: No. 229

---

[6]
Computed, not measured: an optimized crystal structure of CaZn2SbMo at the PBE-GGA level of DFT.

abc: 4.978 4.978 5.105
angles: 90.00 90.00 90.00
Positions (direct):
Ca  0.000  0.000  0.000
Zn  0.000  0.500  0.500
Zn  0.500  0.000  0.500
Sb  0.500  0.500  0.000
Mo  0.500  0.500  0.500

Output
ΔE_f (raw) (eV per atom): 0.11
Space group: No. 123

---

[7]
Computed, not measured: an optimized crystal structure of KNbTeI2 at the PBE-GGA level of DFT.

abc: 6.121 6.121 6.194
angles: 90.00 90.00 90.00
Positions (direct):
K  0.000  0.000  0.000
Nb  0.500  0.500  0.500
Te  0.000  0.000  0.500
I  0.000  0.500  0.000
I  0.500  0.000  0.000

Output
ΔE_f (raw) (eV per atom): 0.96
Energy above the lowest structure with this stoichiometry (eV per atom): 1.437
Space group: No. 123

---

[8]
Computed, not measured: an optimized crystal structure of Ce2CdSi at the PBE-GGA level of DFT.

abc: 11.735 11.735 11.735
angles: 15.15 15.15 15.15
Positions (direct):
Ce  0.096  0.096  0.096
Ce  0.904  0.904  0.904
Cd  0.000  0.000  0.000
Si  0.500  0.500  0.500

Output
ΔE_f (raw) (eV per atom): 0.06
Space group: No. 166

---

The records above yield calculated volume values of 497.1 92.7 144.3 116.6 320.8 126.5 232.1 96.2 Å³/f.u., respectively.